! Na14AgPb, optimized geometry, DFT PBE-GGA; values from VASP
&SYSTEM
  ibrav = 0, nat = 16, ntyp = 3
/
ATOMIC_SPECIES
Na 22.99 Na.upf
Ag 107.87 Ag.upf
Pb 207.20 Pb.upf
CELL_PARAMETERS angstrom
10.642 0.000 0.000
0.000 4.843 5.091
0.000 -4.843 5.091
ATOMIC_POSITIONS crystal
Na 0.000 0.000 0.000
Na 0.000 0.490 0.490
Na 0.000 0.500 0.990
Na 0.000 0.990 0.500
Na 0.272 0.251 0.251
Na 0.273 0.738 0.738
Na 0.280 0.232 0.756
Na 0.280 0.756 0.232
Na 0.500 0.493 0.995
Na 0.500 0.995 0.493
Na 0.720 0.232 0.756
Na 0.720 0.756 0.232
Na 0.727 0.738 0.738
Na 0.728 0.251 0.251
Ag 0.500 0.994 0.994
Pb 0.500 0.494 0.494
! symmetry: No. 38
! energy of formation: -0.02 eV per atom
! DOS(E_F): 0.408 states/eV/atom

***

! Ho3Al8Zn3, optimized geometry, DFT PBE-GGA; values from VASP
&SYSTEM
  ibrav = 0, nat = 14, ntyp = 3
/
ATOMIC_SPECIES
Ho 164.93 Ho.upf
Al 26.98 Al.upf
Zn 65.41 Zn.upf
CELL_PARAMETERS angstrom
-2.136 5.019 6.159
2.136 -5.019 6.159
2.136 5.019 -6.159
ATOMIC_POSITIONS crystal
Ho 0.000 0.000 0.000
Ho 0.313 0.313 0.000
Ho 0.687 0.687 0.000
Al 0.030 0.659 0.371
Al 0.146 0.866 0.280
Al 0.288 0.659 0.629
Al 0.414 0.134 0.280
Al 0.586 0.866 0.720
Al 0.712 0.341 0.371
Al 0.854 0.134 0.720
Al 0.970 0.341 0.629
Zn 0.296 0.500 0.796
Zn 0.500 0.000 0.500
Zn 0.704 0.500 0.204
! symmetry: No. 71
! energy of formation: -0.35 eV per atom
! DOS(E_F): 0.307 states/eV/atom

***

! Pm5Dy8Tl, optimized geometry, DFT PBE-GGA; values from VASP
&SYSTEM
  ibrav = 0, nat = 14, ntyp = 3
/
ATOMIC_SPECIES
Pm 145.00 Pm.upf
Dy 162.50 Dy.upf
Tl 204.38 Tl.upf
CELL_PARAMETERS angstrom
-4.820 4.820 5.020
4.820 -4.820 5.020
4.820 4.820 -5.020
ATOMIC_POSITIONS crystal
Pm 0.000 0.000 0.000
Pm 0.322 0.210 0.688
Pm 0.367 0.678 0.888
Pm 0.522 0.633 0.312
Pm 0.790 0.478 0.112
Dy 0.026 0.772 0.606
Dy 0.057 0.327 0.895
Dy 0.166 0.420 0.394
Dy 0.228 0.834 0.254
Dy 0.432 0.162 0.105
Dy 0.580 0.974 0.746
Dy 0.673 0.568 0.730
Dy 0.838 0.943 0.270
Tl 0.750 0.250 0.500
! symmetry: No. 82
! energy of formation: 0.19 eV per atom
! DOS(E_F): 1.222 states/eV/atom

***

! Ta2NbOs, optimized geometry, DFT PBE-GGA; values from VASP
&SYSTEM
  ibrav = 0, nat = 4, ntyp = 3
/
ATOMIC_SPECIES
Ta 180.95 Ta.upf
Nb 92.91 Nb.upf
Os 190.23 Os.upf
CELL_PARAMETERS angstrom
4.591 0.000 0.000
0.000 4.591 0.000
0.000 0.000 3.218
ATOMIC_POSITIONS crystal
Ta 0.000 0.500 0.000
Ta 0.500 0.000 0.000
Nb 0.000 0.000 0.500
Os 0.500 0.500 0.500
! relative energy among the computed polymorphs: 2.3 kJ/mol of formula units
! symmetry: No. 123
! energy of formation: -0.31 eV per atom
! DOS(E_F): 0.359 states/eV/atom

***

! NaTa3Cd, optimized geometry, DFT PBE-GGA; values from VASP
&SYSTEM
  ibrav = 0, nat = 5, ntyp = 3
/
ATOMIC_SPECIES
Na 22.99 Na.upf
Ta 180.95 Ta.upf
Cd 112.41 Cd.upf
CELL_PARAMETERS angstrom
4.707 0.000 0.000
0.000 4.707 0.000
0.000 0.000 4.707
ATOMIC_POSITIONS crystal
Na 0.000 0.000 0.000
Ta 0.000 0.000 0.500
Ta 0.000 0.500 0.000
Ta 0.500 0.000 0.000
Cd 0.500 0.500 0.500
! relative energy among the computed polymorphs: 0.0 kJ/mol of formula units
! symmetry: No. 221
! energy of formation: 2.21 eV per atom
! DOS(E_F): 1.246 states/eV/atom

***

! LaTa2Zn, optimized geometry, DFT PBE-GGA; values from VASP
&SYSTEM
  ibrav = 0, nat = 4, ntyp = 3
/
ATOMIC_SPECIES
La 138.91 La.upf
Ta 180.95 Ta.upf
Zn 65.41 Zn.upf
CELL_PARAMETERS angstrom
3.482 0.000 0.000
0.000 3.482 0.000
0.000 0.000 7.209
ATOMIC_POSITIONS crystal
La 0.000 0.000 0.000
Ta 0.000 0.000 0.487
Ta 0.500 0.500 0.305
Zn 0.500 0.500 0.690
! symmetry: No. 99
! energy of formation: 0.18 eV per atom
! DOS(E_F): 1.139 states/eV/atom

***

Repeat the sixth record exactly.
! LaTa2Zn, optimized geometry, DFT PBE-GGA; values from VASP
&SYSTEM
  ibrav = 0, nat = 4, ntyp = 3
/
ATOMIC_SPECIES
La 138.91 La.upf
Ta 180.95 Ta.upf
Zn 65.41 Zn.upf
CELL_PARAMETERS angstrom
3.482 0.000 0.000
0.000 3.482 0.000
0.000 0.000 7.209
ATOMIC_POSITIONS crystal
La 0.000 0.000 0.000
Ta 0.000 0.000 0.487
Ta 0.500 0.500 0.305
Zn 0.500 0.500 0.690
! symmetry: No. 99
! energy of formation: 0.18 eV per atom
! DOS(E_F): 1.139 states/eV/atom

***

Please write out number 1 again, unchanged.
! Na14AgPb, optimized geometry, DFT PBE-GGA; values from VASP
&SYSTEM
  ibrav = 0, nat = 16, ntyp = 3
/
ATOMIC_SPECIES
Na 22.99 Na.upf
Ag 107.87 Ag.upf
Pb 207.20 Pb.upf
CELL_PARAMETERS angstrom
10.642 0.000 0.000
0.000 4.843 5.091
0.000 -4.843 5.091
ATOMIC_POSITIONS crystal
Na 0.000 0.000 0.000
Na 0.000 0.490 0.490
Na 0.000 0.500 0.990
Na 0.000 0.990 0.500
Na 0.272 0.251 0.251
Na 0.273 0.738 0.738
Na 0.280 0.232 0.756
Na 0.280 0.756 0.232
Na 0.500 0.493 0.995
Na 0.500 0.995 0.493
Na 0.720 0.232 0.756
Na 0.720 0.756 0.232
Na 0.727 0.738 0.738
Na 0.728 0.251 0.251
Ag 0.500 0.994 0.994
Pb 0.500 0.494 0.494
! symmetry: No. 38
! energy of formation: -0.02 eV per atom
! DOS(E_F): 0.408 states/eV/atom